Compound: HfMn2CrO6
Source: the Alexandria database
Functional: PBE with a Hubbard U
Structure: optimized geometry

Cell: 5.236 5.251 5.606 Å, 62.23 63.65 61.05°
Atoms (fractional coordinates):
Hf 0.000 0.000 0.000
Mn 0.274 0.279 0.170
Mn 0.787 0.802 0.611
Cr 0.482 0.494 0.532
O 0.085 0.721 0.795
O 0.219 0.620 0.296
O 0.372 0.119 0.809
O 0.611 0.867 0.324
O 0.708 0.407 0.802
O 0.856 0.199 0.335

Results
* total DFT energy (no corrections): -8.45 eV/atom